Record 1
First-principles (PBE) data for NaCa3Y3Te8 after structural relaxation, as listed in Alexandria via LeMat-Bulk.

Energy relative to the elements, uncorrected ... -21.12 eV/f.u.

Lattice parameters (Å, degrees): 8.905 8.905 8.905 59.64 59.64 59.64
Element x y z (fractional)
Na  0.000  0.000  0.000
Ca  0.000  0.000  0.500
Ca  0.000  0.500  0.000
Ca  0.500  0.000  0.000
Y  0.000  0.500  0.500
Y  0.500  0.000  0.500
Y  0.500  0.500  0.000
Te  0.252  0.252  0.252
Te  0.255  0.255  0.736
Te  0.255  0.736  0.255
Te  0.264  0.745  0.745
Te  0.736  0.255  0.255
Te  0.745  0.264  0.745
Te  0.745  0.745  0.264
Te  0.748  0.748  0.748

***

Record 2
First-principles (PBE) data for CsAc4Pb5 after structural relaxation, as listed in Alexandria via LeMat-Bulk.

Formation energy ... -0.40 eV/atom

Lattice parameters (Å, degrees): 4.414 4.414 19.913 90.00 90.00 90.00
Element x y z (fractional)
Cs  0.000  0.000  0.000
Ac  0.000  0.000  0.217
Ac  0.000  0.000  0.405
Ac  0.000  0.000  0.595
Ac  0.000  0.000  0.783
Pb  0.500  0.500  0.138
Pb  0.500  0.500  0.310
Pb  0.500  0.500  0.500
Pb  0.500  0.500  0.690
Pb  0.500  0.500  0.862

***

Record 3
First-principles (PBE) data for In2RhPb after structural relaxation, as listed in Alexandria via LeMat-Bulk.

Formation energy ... -0.01 eV/atom

Lattice parameters (Å, degrees): 7.056 7.056 7.056 154.16 140.97 47.41
Element x y z (fractional)
In  0.188  0.188  0.000
In  0.812  0.812  0.000
Rh  0.000  0.500  0.500
Pb  0.500  0.000  0.500

***

Record 4
First-principles (PBE) data for Sr6P2N after structural relaxation, as listed in Alexandria via LeMat-Bulk.

Energy relative to the elements, uncorrected ... -6.55 eV/f.u.

Lattice parameters (Å, degrees): 7.033 8.013 12.212 90.00 124.02 90.00
Element x y z (fractional)
Sr  0.104  0.043  0.238
Sr  0.104  0.457  0.738
Sr  0.223  0.706  0.064
Sr  0.223  0.794  0.564
Sr  0.369  0.163  0.066
Sr  0.369  0.337  0.566
Sr  0.631  0.663  0.434
Sr  0.631  0.837  0.934
Sr  0.777  0.206  0.436
Sr  0.777  0.294  0.936
Sr  0.896  0.543  0.262
Sr  0.896  0.957  0.762
P  0.298  0.108  0.748
P  0.298  0.392  0.248
P  0.702  0.608  0.752
P  0.702  0.892  0.252
N  0.000  0.000  0.000
N  0.000  0.500  0.500

***

Record 5
First-principles (PBE) data for YTcW after structural relaxation, as listed in Alexandria via LeMat-Bulk.

Relative energy among the computed polymorphs ... 1.275 eV/f.u.
Formation energy ... 0.38 eV/atom

Lattice parameters (Å, degrees): 4.559 4.559 3.136 90.00 90.00 120.00
Element x y z (fractional)
Y  0.000  0.000  0.000
Tc  0.667  0.333  0.362
W  0.333  0.667  0.595

***

Record 6
First-principles (PBE) data for ReBi3Br after structural relaxation, as listed in Alexandria via LeMat-Bulk.

Relative energy among the computed polymorphs ... 6.357 eV/f.u.
Energy relative to the elements, uncorrected ... 9.10 eV/f.u.

Lattice parameters (Å, degrees): 5.579 5.579 5.579 90.00 90.00 90.00
Element x y z (fractional)
Re  0.000  0.000  0.000
Bi  0.000  0.500  0.500
Bi  0.500  0.000  0.500
Bi  0.500  0.500  0.000
Br  0.500  0.500  0.500

***

Record 7
First-principles (PBE) data for ZrCoP2 after structural relaxation, as listed in Alexandria via LeMat-Bulk.

Relative energy among the computed polymorphs ... 0.962 eV/f.u.
Formation energy ... -0.48 eV/atom

Lattice parameters (Å, degrees): 3.194 3.194 6.119 90.00 90.00 108.51
Element x y z (fractional)
Zr  0.000  0.000  0.000
Co  0.000  0.000  0.500
P  0.500  0.500  0.297
P  0.500  0.500  0.703

***

Record 8
First-principles (PBE) data for LiSc2AsO after structural relaxation, as listed in Alexandria via LeMat-Bulk.

Energy relative to the elements, uncorrected ... -8.33 eV/f.u.

Lattice parameters (Å, degrees): 4.359 4.359 3.893 90.00 90.00 90.00
Element x y z (fractional)
Li  0.000  0.000  0.000
Sc  0.000  0.500  0.500
Sc  0.500  0.000  0.500
As  0.500  0.500  0.000
O  0.000  0.000  0.500